(1)
DFT (GGA-PBE) results for NaRe2SnBr after structural relaxation.

```
5
Lattice="4.6255 0.0000 0.0000 0.0000 4.6255 0.0000 0.0000 0.0000 5.6332" Properties=species:S:1:pos:R:3 pbc="T T T"
Na 0.0000 0.0000 0.0000
Re 0.0000 2.3128 2.8166
Re 2.3128 0.0000 2.8166
Sn 2.3128 2.3128 0.0000
Br 2.3128 2.3128 2.8166
```

total magnetization	0.000	μB/f.u.
formation energy without anion corrections	9.431	eV per formula unit
N(E_F)	0.731	states/eV per atom
final energy	-4.49	eV/atom
space-group type	P4/mmm, No. 123

(2)
DFT (GGA-PBE) results for Pm12Tm7Mg after structural relaxation.

```
20
Lattice="-5.7515 5.7515 5.7515 5.7515 -5.7515 5.7515 5.7515 5.7515 -5.7515" Properties=species:S:1:pos:R:3 pbc="T T T"
Pm 5.7515 -2.8783 2.8933
Pm 2.8732 2.8582 0.0000
Pm 8.6299 2.8582 0.0000
Pm 2.8933 5.7515 -2.8783
Pm 2.8582 0.0000 2.8732
Pm 0.0000 2.8732 2.8582
Pm 5.7515 2.8783 2.8933
Pm 2.8933 5.7515 2.8783
Pm 2.8582 0.0000 8.6299
Pm -2.8783 2.8933 5.7515
Pm 2.8783 2.8933 5.7515
Pm 0.0000 8.6299 2.8582
Tm 2.8758 2.8758 -2.8758
Tm 2.8758 -2.8758 2.8758
Tm 5.7515 0.0000 0.0000
Tm -2.8758 2.8758 2.8758
Tm 0.0000 5.7515 0.0000
Tm 0.0000 0.0000 5.7515
Tm 2.8758 2.8758 2.8758
Mg 0.0000 0.0000 0.0000
```

total magnetization	0.000	μB/f.u.
formation enthalpy at 0 K	67.3	kJ per mole of atoms
N(E_F)	1.347	states/eV per atom
final energy	-3.80	eV/atom
space-group type	Im-3, No. 204

Question: What is the final energy in the first record?
Answer: -4.49 eV/atom